[1]
Material: Dy3HoTl2
Method: DFT, GGA-PBE
State: relaxed

Lattice parameters (Å, degrees): 5.092 9.974 6.790 90.00 90.00 90.00
Fractional positions:
Dy  0.000  0.041  0.000
Dy  0.000  0.314  0.372
Dy  0.000  0.686  0.872
Dy  0.000  0.959  0.500
Dy  0.500  0.188  0.720
Dy  0.500  0.812  0.220
Ho  0.500  0.459  0.092
Ho  0.500  0.541  0.592
Tl  0.000  0.366  0.839
Tl  0.000  0.634  0.339
Tl  0.500  0.134  0.254
Tl  0.500  0.866  0.754

For the calculated volume, the calculation gives 28.7 Å³ per atom. The value obtained for the formation energy is -267 meV per atom. As for the excess energy over the best structure of this formula in the dataset: 0 meV/atom.

***

[2]
Material: YGa3Ir2
Method: DFT, GGA-PBE
State: relaxed

Lattice parameters (Å, degrees): 8.632 8.632 9.737 101.20 101.20 26.94
Fractional positions:
Y  0.000  0.000  0.000
Y  0.154  0.154  0.712
Y  0.846  0.846  0.288
Ga  0.058  0.058  0.345
Ga  0.226  0.226  0.374
Ga  0.354  0.354  0.063
Ga  0.359  0.359  0.806
Ga  0.500  0.500  0.500
Ga  0.641  0.641  0.194
Ga  0.646  0.646  0.937
Ga  0.774  0.774  0.626
Ga  0.942  0.942  0.655
Ir  0.208  0.208  0.093
Ir  0.359  0.359  0.543
Ir  0.487  0.487  0.231
Ir  0.513  0.513  0.769
Ir  0.641  0.641  0.457
Ir  0.792  0.792  0.907

For the calculated volume, the calculation gives 17.9 Å³ per atom. The value obtained for the formation energy is -633 meV per atom.